Record 1
{"formula": "Hf2MnCr2", "functional": "PBE-GGA", "state": "optimized geometry", "volume_a3_per_cell": 158, "e_tot_ev_per_cell": -95.4, "formation_energy_ev_per_atom": 0.1288, "cell": [[6.027, 0.000, 0.000], [0.000, 6.027, 0.000], [0.000, 0.000, 4.356]], "species": ["Mn", "Mn", "Cr", "Cr", "Cr", "Cr", "Hf", "Hf", "Hf", "Hf"], "fractional_positions": [[0.500, 0.500, 0.000], [0.000, 0.000, 0.000], [0.364, 0.864, 0.000], [0.636, 0.136, 0.000], [0.136, 0.364, 0.000], [0.864, 0.636, 0.000], [0.176, 0.676, 0.500], [0.824, 0.324, 0.500], [0.676, 0.824, 0.500], [0.324, 0.176, 0.500]]}

***

Record 2
{"formula": "ErTlInAg", "functional": "PBE-GGA", "state": "optimized geometry", "volume_a3_per_cell": 95, "e_tot_ev_per_cell": -13.2, "formation_energy_ev_per_atom": -0.1828, "cell": [[-2.376, -4.531, 0.302], [2.735, -4.335, -0.032], [0.387, -2.817, 4.264]], "species": ["Ag", "Er", "Tl", "In"], "fractional_positions": [[0.750, 0.750, 0.750], [0.500, 0.500, 0.500], [0.250, 0.250, 0.250], [0.000, 0.000, 0.000]]}

***

Record 3
{"formula": "Ho7Cu2Rh2", "functional": "PBE-GGA", "state": "optimized geometry", "volume_a3_per_cell": 283, "e_tot_ev_per_cell": -57.8, "formation_energy_ev_per_atom": -0.2620, "cell": [[6.476, -0.002, -0.919], [0.003, 7.021, 0.003], [-1.321, -0.002, 6.406]], "species": ["Ho", "Ho", "Ho", "Ho", "Ho", "Ho", "Ho", "Cu", "Cu", "Rh", "Rh"], "fractional_positions": [[0.500, 0.266, 0.000], [0.500, 0.259, 0.500], [0.500, 0.741, 0.500], [0.000, 0.000, 0.000], [0.000, 0.266, 0.500], [0.500, 0.734, 0.000], [0.000, 0.734, 0.500], [0.827, 0.500, 0.827], [0.173, 0.500, 0.173], [0.706, 0.000, 0.294], [0.294, 0.000, 0.706]]}

***

Record 4
{"formula": "Re5As", "functional": "PBE-GGA", "state": "optimized geometry", "relative_energy_ev_per_atom": 0.044, "volume_a3_per_cell": 90, "e_tot_ev_per_cell": -65.7, "formation_energy_ev_per_atom": 0.2034, "cell": [[1.433, -7.102, 0.000], [1.433, 7.102, 0.000], [0.000, 0.000, 4.442]], "species": ["Re", "Re", "Re", "Re", "Re", "As"], "fractional_positions": [[0.335, 0.665, 0.000], [0.111, 0.889, 0.500], [0.673, 0.327, 0.000], [0.442, 0.558, 0.500], [0.781, 0.219, 0.500], [0.993, 0.007, 0.000]]}

***

Record 5
{"formula": "NdTlCu", "functional": "PBE-GGA", "state": "optimized geometry", "volume_a3_per_cell": 334, "e_tot_ev_per_cell": -44.3, "formation_energy_ev_per_atom": 0.0489, "cell": [[0.128, 2.100, 6.720], [5.058, -4.503, 1.933], [2.102, 5.817, -5.859]], "species": ["Cu", "Cu", "Cu", "Cu", "Nd", "Nd", "Nd", "Nd", "Tl", "Tl", "Tl", "Tl"], "fractional_positions": [[0.706, 0.706, 0.000], [0.294, 0.294, 0.000], [0.544, 0.044, 0.500], [0.956, 0.456, 0.500], [0.353, 0.353, 0.706], [0.897, 0.397, 0.794], [0.647, 0.647, 0.294], [0.603, 0.103, 0.206], [0.125, 0.875, 0.250], [0.125, 0.375, 0.250], [0.625, 0.875, 0.750], [0.125, 0.875, 0.750]]}